A relaxed structure of BaFe2Mo, computed with PBE.

Summary:
Spin magnetization = 3.90 μB/f.u.
Crystal system = tetragonal
Final energy = -6.239 eV/atom
Fermi-level density of states = 1.319 states/eV/atom
Polymorph energy (0 for the lowest one) = 650 meV per atom

Structure (CIF):
```
data_BaFe2Mo
_chemical_formula_sum 'Ba1 Fe2 Mo1'
_cell_length_a 4.9449
_cell_length_b 4.9449
_cell_length_c 3.0581
_cell_angle_alpha 90.00
_cell_angle_beta 90.00
_cell_angle_gamma 90.00
_space_group_name_H-M_alt 'P 4/m m m'
_space_group_IT_number 123
_space_group_name_Hall '-P 4 2'
loop_
_atom_site_label
_atom_site_type_symbol
_atom_site_fract_x
_atom_site_fract_y
_atom_site_fract_z
Ba1 Ba 0.0000 0.0000 0.0000
Fe1 Fe 0.0000 0.5000 0.5000
Mo1 Mo 0.5000 0.5000 0.0000
```